Entry from the Alexandria database: crystalline Mg3Sn at its relaxed geometry (GGA-PBEsol).

Calculated values
DOS at the Fermi energy   2.2 states/eV per cell
Crystal system   hexagonal
Raw total energy   -9.6 eV per formula unit

Cell: 3.2627 3.2627 10.0805 Å, 90.00 90.00 120.00°
Sites, in units of the cell vectors:
Mg1 0.0000 0.0000 0.0000
Mg2 0.6667 0.3333 0.2510
Mg3 0.6667 0.3333 0.7490
Sn1 0.0000 0.0000 0.5000

Entry from the Alexandria database: crystalline ZrSiAu2 at its relaxed geometry (GGA-PBEsol).

Calculated values
DOS at the Fermi energy   0.6 states/eV per cell
Crystal system   orthorhombic
Raw formation energy   -0.39 eV/atom

Cell: 4.8612 4.8612 4.8612 Å, 132.44 122.16 78.04°
Sites, in units of the cell vectors:
Zr1 0.0000 0.0000 0.0000
Si1 0.7617 0.2617 0.5000
Au1 0.2915 0.7915 0.5000
Au2 0.5681 0.5681 0.0000

Entry from the Alexandria database: crystalline CeSiOs2C at its relaxed geometry (GGA-PBEsol).

Calculated values
DOS at the Fermi energy   6.5 states/eV per cell
Crystal system   orthorhombic
Raw formation energy   -0.50 eV/atom

Cell: 5.8757 5.8757 7.0723 Å, 90.00 90.00 141.17°
Sites, in units of the cell vectors:
Ce1 0.0521 0.9479 0.7500
Ce2 0.9479 0.0521 0.2500
Si1 0.2279 0.7721 0.2500
Si2 0.7721 0.2279 0.7500
Os1 0.3338 0.6662 0.5577
Os2 0.3338 0.6662 0.9423
Os3 0.6662 0.3338 0.0577
Os4 0.6662 0.3338 0.4423
C1 0.5000 0.5000 0.0000
C2 0.5000 0.5000 0.5000

Entry from the Alexandria database: crystalline Mg2Au at its relaxed geometry (GGA-PBEsol).

Calculated values
DOS at the Fermi energy   9.7 states/eV per cell
Crystal system   cubic
Raw total energy   -8.8 eV per formula unit

Cell: 8.6593 8.6593 8.6593 Å, 60.00 60.00 60.00°
Sites, in units of the cell vectors:
Mg1 0.0000 0.0000 0.0000
Mg2 0.0000 0.0000 0.5000
Mg3 0.0000 0.5000 0.0000
Mg4 0.1781 0.1781 0.5719
Mg5 0.1781 0.5719 0.1781
Mg6 0.1781 0.5719 0.5719
Mg7 0.4281 0.4281 0.8219
Mg8 0.4281 0.8219 0.4281
Mg9 0.4281 0.8219 0.8219
Mg10 0.5000 0.0000 0.0000
Mg11 0.5719 0.1781 0.1781
Mg12 0.5719 0.1781 0.5719
Mg13 0.5719 0.5719 0.1781
Mg14 0.8219 0.4281 0.4281
Mg15 0.8219 0.4281 0.8219
Mg16 0.8219 0.8219 0.4281
Au1 0.1575 0.7808 0.7808
Au2 0.2192 0.2192 0.2192
Au3 0.2192 0.2192 0.8425
Au4 0.2192 0.8425 0.2192
Au5 0.7808 0.1575 0.7808
Au6 0.7808 0.7808 0.1575
Au7 0.7808 0.7808 0.7808
Au8 0.8425 0.2192 0.2192

Entry from the Alexandria database: crystalline ZrSc2Al at its relaxed geometry (GGA-PBEsol).

Calculated values
DOS at the Fermi energy   4.7 states/eV per cell
Crystal system   tetragonal
Raw total energy   -27.3 eV per formula unit

Cell: 5.4139 5.4139 5.4139 Å, 133.65 133.65 67.63°
Sites, in units of the cell vectors:
Zr1 0.0000 0.0000 0.0000
Sc1 0.2500 0.7500 0.5000
Sc2 0.7500 0.2500 0.5000
Al1 0.5000 0.5000 0.0000

Entry from the Alexandria database: crystalline CsCd2Ag2 at its relaxed geometry (GGA-PBEsol).

Calculated values
DOS at the Fermi energy   2.0 states/eV per cell
Crystal system   tetragonal
Raw total energy   -9.6 eV per formula unit

Cell: 6.5011 6.5011 6.5011 Å, 134.55 134.55 66.23°
Sites, in units of the cell vectors:
Cs1 0.0000 0.0000 0.0000
Cd1 0.3646 0.3646 0.0000
Cd2 0.6354 0.6354 0.0000
Ag1 0.2500 0.7500 0.5000
Ag2 0.7500 0.2500 0.5000

So what do the calculations give for calculated density? Going down the list: 3.4 12.2 12.2 7.1 4.2 6.9 Mg/m³.